5
Lattice="5.2087 0.0000 0.0000 0.0000 5.2087 0.0000 0.0000 0.0000 5.2361" Properties=species:S:1:pos:R:3 comment="RbHfP2Cl (PBE, relaxed)" raw_formation_energy_ev_per_atom=1.48 dos_at_fermi_per_ev_cell=1.99 polymorph_energy_mev_per_atom=2175 pbc="T T T"
Rb 0.0000 0.0000 0.0000
Hf 2.6044 2.6044 2.6181
P 0.0000 2.6044 0.0000
P 2.6044 0.0000 0.0000
Cl 0.0000 0.0000 2.6181

10
Lattice="4.0435 0.0000 0.0000 0.0000 4.0435 0.0000 0.0000 0.0000 10.1977" Properties=species:S:1:pos:R:3 comment="Na2BeSi3Pt4 (PBE, relaxed)" raw_formation_energy_ev_per_atom=-0.62 dos_at_fermi_per_ev_cell=4.40 pbc="T T T"
Na 0.0000 2.0217 2.4647
Na 2.0217 0.0000 7.7330
Be 2.0217 2.0217 0.0000
Si 0.0000 0.0000 0.0000
Si 0.0000 2.0217 6.5112
Si 2.0217 0.0000 3.6865
Pt 0.0000 0.0000 5.0988
Pt 0.0000 2.0217 8.8962
Pt 2.0217 0.0000 1.3014
Pt 2.0217 2.0217 5.0988

4
Lattice="5.0374 0.0000 0.0000 0.0000 5.0374 0.0000 0.0000 0.0000 4.2096" Properties=species:S:1:pos:R:3 comment="Ba2IrRu (PBE, relaxed)" dos_at_fermi_per_ev_cell=6.09 ef_mev_per_atom=730 pbc="T T T"
Ba 0.0000 2.5187 0.0000
Ba 2.5187 0.0000 0.0000
Ir 0.0000 0.0000 2.1048
Ru 2.5187 2.5187 2.1048

9
Lattice="6.7511 0.0000 0.0000 -3.3557 5.8825 0.0000 -3.3498 -1.9193 12.7760" Properties=species:S:1:pos:R:3 comment="K5Na4 (PBE, relaxed)" dos_at_fermi_per_ev_cell=7.39 polymorph_energy_mev_per_atom=5 ef_mev_per_atom=29 pbc="T T T"
K 0.0000 0.0000 0.0000
K 0.0175 0.0388 5.2330
K 0.0229 3.9598 2.8360
K 0.0227 0.0034 9.9400
K 0.0281 3.9244 7.5430
Na -3.3549 1.9462 8.1286
Na -3.3317 1.9872 11.6485
Na 3.3773 1.9760 1.1275
Na 3.4005 2.0170 4.6474

11
Lattice="3.9389 -5.1293 0.0000 3.9389 5.1293 0.0000 0.0000 0.0000 4.2502" Properties=species:S:1:pos:R:3 comment="Zn8AgRh2 (PBE, relaxed)" dos_at_fermi_per_ev_cell=4.72 ef_mev_per_atom=-145 pbc="T T T"
Zn 1.2774 0.0000 0.0000
Zn 2.5959 1.3977 2.1251
Zn 3.9389 2.5853 0.0000
Zn 2.5959 -1.3977 2.1251
Zn 5.2820 1.3977 2.1251
Zn 3.9389 -2.5853 0.0000
Zn 5.2820 -1.3977 2.1251
Zn 6.6005 0.0000 0.0000
Ag 3.9389 0.0000 0.0000
Rh 3.9389 3.8013 2.1251
Rh 3.9389 -3.8013 2.1251

5
Lattice="5.0243 0.0000 0.0000 0.0000 5.0243 0.0000 0.0000 0.0000 5.3072" Properties=species:S:1:pos:R:3 comment="NaZrP2Cl (PBE, relaxed)" raw_formation_energy_ev_per_atom=-0.52 dos_at_fermi_per_ev_cell=2.20 polymorph_energy_mev_per_atom=0 pbc="T T T"
Na 0.0000 0.0000 0.0000
Zr 2.5122 2.5122 2.6536
P 0.0000 2.5122 2.6536
P 2.5122 0.0000 2.6536
Cl 2.5122 2.5122 0.0000

12
Lattice="3.3109 -3.4571 0.0000 3.3109 3.4571 0.0000 0.0000 0.0000 6.7573" Properties=species:S:1:pos:R:3 comment="SrHf2AsO8 (PBE, relaxed)" raw_formation_energy_ev_per_atom=-2.45 dos_at_fermi_per_ev_cell=3.30 pbc="T T T"
Sr 0.0000 0.0000 0.0000
Hf 3.3109 0.0000 1.7859
Hf 3.3109 0.0000 4.9713
As 0.0000 0.0000 3.3786
O 1.2843 0.0000 2.0721
O 1.2843 0.0000 4.6852
O 3.3109 1.4724 3.3786
O 3.3109 1.1266 0.0000
O 3.3109 -1.1266 0.0000
O 3.3109 -1.4724 3.3786
O 5.3376 0.0000 2.0721
O 5.3376 0.0000 4.6852

18
Lattice="10.9995 0.0000 0.0000 0.0000 10.9995 0.0000 0.0000 0.0000 5.2402" Properties=species:S:1:pos:R:3 comment="La6Nd2Mg (PBE, relaxed)" dos_at_fermi_per_ev_cell=27.07 polymorph_energy_mev_per_atom=9 ef_mev_per_atom=9 pbc="T T T"
La 0.0402 3.6292 0.0000
La 1.7677 9.2317 2.6201
La 1.8706 5.5400 2.6201
La 3.6292 0.0402 0.0000
La 3.7320 3.7320 0.0000
La 5.4595 9.1289 2.6201
La 5.5400 1.8706 2.6201
La 7.2675 7.2675 0.0000
La 7.3703 10.9593 0.0000
La 9.1289 5.4595 2.6201
La 9.2317 1.7677 2.6201
La 10.9593 7.3703 0.0000
Nd 1.8941 1.8941 2.6201
Nd 3.6057 7.3938 0.0000
Nd 7.3938 3.6057 0.0000
Nd 9.1054 9.1054 2.6201
Mg 0.0000 0.0000 0.0000
Mg 5.4997 5.4997 2.6201

12
Lattice="2.8383 -4.9093 0.0000 2.8383 4.9093 0.0000 -1.8849 0.0000 5.3521" Properties=species:S:1:pos:R:3 comment="Np3TaNb2N6 (PBE, relaxed)" raw_formation_energy_ev_per_atom=-1.14 dos_at_fermi_per_ev_cell=17.53 pbc="T T T"
Np 0.0000 0.0000 0.0000
Np 2.8383 1.6657 0.0000
Np 2.8383 -1.6657 0.0000
Ta 1.8959 0.0000 2.6760
Nb 1.8959 3.2810 2.6760
Nb 1.8959 -3.2810 2.6760
N 0.9683 1.6066 1.4687
N 0.0453 0.0000 3.9081
N 0.9683 -1.6066 1.4687
N 2.8235 1.6066 3.8834
N 3.7465 0.0000 1.4440
N 2.8235 -1.6066 3.8834

8
Lattice="6.0926 0.0000 0.0000 0.0000 3.5656 0.0000 -2.1063 0.0000 5.8064" Properties=species:S:1:pos:R:3 comment="TbU2PaC4 (PBE, relaxed)" dos_at_fermi_per_ev_cell=7.81 ef_mev_per_atom=-264 pbc="T T T"
Tb 0.0000 0.0000 0.0000
U 1.9932 0.0000 2.9032
U 3.0463 1.7828 0.0000
Pa -1.0531 1.7828 2.9032
C 0.0789 0.0000 4.3711
C 1.1566 1.7828 1.5543
C 2.8298 1.7828 4.2520
C 3.9075 0.0000 1.4352

16
Lattice="7.2661 0.0000 0.0000 0.0000 7.2661 0.0000 0.0000 0.0000 7.2661" Properties=species:S:1:pos:R:3 comment="ErTmZnIn (PBE, relaxed)" dos_at_fermi_per_ev_cell=15.05 polymorph_energy_mev_per_atom=24 ef_mev_per_atom=-382 pbc="T T T"
Er 0.0000 0.0000 0.0000
Er 0.0000 3.6331 3.6331
Er 3.6331 0.0000 3.6331
Er 3.6331 3.6331 0.0000
Tm 0.0000 0.0000 3.6331
Tm 0.0000 3.6331 0.0000
Tm 3.6331 0.0000 0.0000
Tm 3.6331 3.6331 3.6331
Zn 1.8165 1.8165 1.8165
Zn 1.8165 5.4496 5.4496
Zn 5.4496 1.8165 5.4496
Zn 5.4496 5.4496 1.8165
In 1.8165 1.8165 5.4496
In 1.8165 5.4496 1.8165
In 5.4496 1.8165 1.8165
In 5.4496 5.4496 5.4496

10
Lattice="4.8865 0.0000 0.0000 0.0000 4.8865 0.0000 0.0000 0.0000 12.4309" Properties=species:S:1:pos:R:3 comment="Sr2Tl3Cd4In (PBE, relaxed)" dos_at_fermi_per_ev_cell=4.68 ef_mev_per_atom=-203 pbc="T T T"
Sr 0.0000 2.4433 3.0692
Sr 2.4433 0.0000 9.3617
Tl 0.0000 2.4433 10.7376
Tl 2.4433 0.0000 1.6932
Tl 2.4433 2.4433 6.2154
Cd 0.0000 0.0000 0.0000
Cd 0.0000 2.4433 7.9085
Cd 2.4433 0.0000 4.5223
Cd 2.4433 2.4433 0.0000
In 0.0000 0.0000 6.2154